Record 1
A plane-wave DFT calculation with PBE was carried out for YHoTm2Tl2 after structural relaxation. Values from VASP.

Summary:
Size of the total moment (μB/cell): 0.0
V (Å³/f.u.): 169.7
Energy (eV per atom): -4.388
Energy relative to the elements (eV per formula unit): -1.61

Structure (Quantum ESPRESSO input):
```
&SYSTEM
  ibrav = 0, nat = 12, ntyp = 4
/
ATOMIC_SPECIES
Tm 168.93 Tm.upf
Tl 204.38 Tl.upf
Ho 164.93 Ho.upf
Y 88.91 Y.upf
CELL_PARAMETERS angstrom
-3.707 2.682 -2.113
-3.482 -0.200 5.855
4.395 8.360 2.900
ATOMIC_POSITIONS angstrom
Tm -1.857 1.691 -0.607
Tm -0.361 1.497 2.533
Tm 0.647 6.627 7.275
Tm 0.417 9.229 4.969
Tl -2.214 0.926 5.058
Tl 2.781 7.215 4.277
Tl -1.560 6.496 4.969
Tl -0.994 4.360 1.266
Ho -2.849 3.790 3.797
Ho 0.570 7.082 1.977
Y 0.791 4.455 4.265
Y -1.336 3.621 6.938
```

***

Record 2
A plane-wave DFT calculation with PBE was carried out for Ho2TmTl2Zn2 after structural relaxation. Values from VASP.

Summary:
Size of the total moment (μB/cell): 0.0
V (Å³/f.u.): 174.4
Energy (eV per atom): -3.114
Energy relative to the elements (eV per formula unit): -0.89

Structure (Quantum ESPRESSO input):
```
&SYSTEM
  ibrav = 0, nat = 7, ntyp = 4
/
ATOMIC_SPECIES
Tl 204.38 Tl.upf
Zn 65.41 Zn.upf
Tm 168.93 Tm.upf
Ho 164.93 Ho.upf
CELL_PARAMETERS angstrom
4.721 0.000 0.000
2.360 4.088 0.000
2.360 1.363 9.035
ATOMIC_POSITIONS angstrom
Tl 7.081 4.088 7.084
Tl 2.360 1.363 1.950
Zn 4.721 2.726 1.536
Zn 4.721 2.726 7.499
Tm 0.000 0.000 0.000
Ho 2.360 1.363 5.609
Ho 7.081 4.088 3.426
```

***

Record 3
A plane-wave DFT calculation with PBE was carried out for HoTmTlZn after structural relaxation. Values from VASP.

Summary:
Size of the total moment (μB/cell): 0.0
V (Å³/f.u.): 98.3
Energy above the most stable polymorph in this dataset (eV/atom): 0.029
Energy (eV per atom): -3.482
Energy relative to the elements (eV per formula unit): -1.24

Structure (Quantum ESPRESSO input):
```
&SYSTEM
  ibrav = 0, nat = 4, ntyp = 4
/
ATOMIC_SPECIES
Tm 168.93 Tm.upf
Zn 65.41 Zn.upf
Ho 164.93 Ho.upf
Tl 204.38 Tl.upf
CELL_PARAMETERS angstrom
-5.120 -0.548 -0.569
-1.990 -4.623 -1.229
-2.726 -2.663 3.510
ATOMIC_POSITIONS angstrom
Tm -2.459 -1.958 0.428
Zn 0.000 0.000 0.000
Ho -7.376 -5.875 1.284
Tl -4.918 -3.917 0.856
```

***

Record 4
A plane-wave DFT calculation with PBE was carried out for HoTmTlZn after structural relaxation. Values from VASP.

Summary:
Size of the total moment (μB/cell): 0.0
V (Å³/f.u.): 97.3
Energy above the most stable polymorph in this dataset (eV/atom): 0.000
Energy (eV per atom): -3.511
Energy relative to the elements (eV per formula unit): -1.35

Structure (Quantum ESPRESSO input):
```
&SYSTEM
  ibrav = 0, nat = 4, ntyp = 4
/
ATOMIC_SPECIES
Ho 164.93 Ho.upf
Tm 168.93 Tm.upf
Zn 65.41 Zn.upf
Tl 204.38 Tl.upf
CELL_PARAMETERS angstrom
-1.847 3.114 0.336
-2.489 -1.222 -2.352
-3.848 -2.883 5.571
ATOMIC_POSITIONS angstrom
Ho -3.217 -2.411 4.657
Tm -1.457 -1.091 2.108
Zn -4.489 -0.793 2.351
Tl -2.593 0.628 -0.393
```

***

Record 5
A plane-wave DFT calculation with PBE was carried out for HoTm2Tl2Zn2 after structural relaxation. Values from VASP.

Summary:
Size of the total moment (μB/cell): 0.0
V (Å³/f.u.): 171.7
Energy (eV per atom): -3.092
Energy relative to the elements (eV per formula unit): -0.84

Structure (Quantum ESPRESSO input):
```
&SYSTEM
  ibrav = 0, nat = 7, ntyp = 4
/
ATOMIC_SPECIES
Zn 65.41 Zn.upf
Tl 204.38 Tl.upf
Ho 164.93 Ho.upf
Tm 168.93 Tm.upf
CELL_PARAMETERS angstrom
4.757 0.000 0.000
2.379 4.120 0.000
2.379 1.373 8.759
ATOMIC_POSITIONS angstrom
Zn 4.757 2.747 2.400
Zn 4.757 2.747 6.359
Tl 2.379 1.373 1.737
Tl 7.136 4.120 7.021
Ho 0.000 0.000 0.000
Tm 7.136 4.120 3.433
Tm 2.379 1.373 5.326
```

***

Record 6
A plane-wave DFT calculation with PBE was carried out for Y3HoTl4 after structural relaxation. Values from VASP.

Summary:
Size of the total moment (μB/cell): 0.0
V (Å³/f.u.): 218.0
Energy (eV per atom): -4.546
Energy relative to the elements (eV per formula unit): -2.93

Structure (Quantum ESPRESSO input):
```
&SYSTEM
  ibrav = 0, nat = 8, ntyp = 3
/
ATOMIC_SPECIES
Tl 204.38 Tl.upf
Y 88.91 Y.upf
Ho 164.93 Ho.upf
CELL_PARAMETERS angstrom
-2.944 -2.386 -0.151
2.092 -2.687 1.669
-4.623 4.843 13.595
ATOMIC_POSITIONS angstrom
Tl -0.569 0.597 1.675
Tl -1.730 1.813 5.088
Tl -2.893 3.031 8.507
Tl -4.053 4.247 11.921
Y -2.737 -0.115 7.557
Y -1.576 -1.332 4.141
Y -3.899 1.102 10.972
Ho -0.426 -2.537 0.759
```

***

Record 7
A plane-wave DFT calculation with PBE was carried out for YHoTl4 after structural relaxation. Values from VASP.

Summary:
Size of the total moment (μB/cell): 0.0
V (Å³/f.u.): 191.9
Energy (eV per atom): -3.417
Energy relative to the elements (eV per formula unit): 0.00

Structure (Quantum ESPRESSO input):
```
&SYSTEM
  ibrav = 0, nat = 6, ntyp = 3
/
ATOMIC_SPECIES
Y 88.91 Y.upf
Tl 204.38 Tl.upf
Ho 164.93 Ho.upf
CELL_PARAMETERS angstrom
-3.844 -1.965 -2.605
3.457 -1.102 -3.506
1.199 -6.713 3.281
ATOMIC_POSITIONS angstrom
Y 0.988 -8.233 0.226
Tl 2.606 -5.557 0.700
Tl 2.416 -7.092 -2.355
Tl 2.017 -2.232 -0.925
Tl 1.817 -3.764 -3.981
Ho 4.039 -4.446 -1.866
```

***

Record 8
A plane-wave DFT calculation with PBE was carried out for YHo2Tl3 after structural relaxation. Values from VASP.

Summary:
Size of the total moment (μB/cell): 0.0
V (Å³/f.u.): 163.4
Energy (eV per atom): -4.134
Energy relative to the elements (eV per formula unit): -2.09

Structure (Quantum ESPRESSO input):
```
&SYSTEM
  ibrav = 0, nat = 6, ntyp = 3
/
ATOMIC_SPECIES
Tl 204.38 Tl.upf
Y 88.91 Y.upf
Ho 164.93 Ho.upf
CELL_PARAMETERS angstrom
-0.602 -3.613 0.005
0.894 -0.154 -3.549
11.636 -1.933 3.014
ATOMIC_POSITIONS angstrom
Tl 3.862 -0.641 1.000
Tl 7.774 -1.291 2.014
Tl 0.000 0.000 0.000
Y 5.964 -2.850 -0.265
Ho 2.078 -2.205 -1.271
Ho 9.850 -3.496 0.742
```

***

Record 9
A plane-wave DFT calculation with PBE was carried out for Y4HoTl2 after structural relaxation. Values from VASP.

Summary:
Size of the total moment (μB/cell): 0.0
V (Å³/f.u.): 231.5
Energy (eV per atom): -4.976
Energy relative to the elements (eV per formula unit): 0.33

Structure (Quantum ESPRESSO input):
```
&SYSTEM
  ibrav = 0, nat = 7, ntyp = 3
/
ATOMIC_SPECIES
Y 88.91 Y.upf
Tl 204.38 Tl.upf
Ho 164.93 Ho.upf
CELL_PARAMETERS angstrom
5.293 0.000 0.000
2.647 4.584 0.000
2.647 1.528 9.539
ATOMIC_POSITIONS angstrom
Y 2.647 1.528 6.080
Y 2.647 1.528 1.370
Y 7.940 4.584 3.458
Y 7.940 4.584 8.169
Tl 5.293 3.056 7.763
Tl 5.293 3.056 1.776
Ho 5.293 3.056 4.769
```

***

Record 10
A plane-wave DFT calculation with PBE was carried out for YHo2Tl4 after structural relaxation. Values from VASP.

Summary:
Size of the total moment (μB/cell): 0.0
V (Å³/f.u.): 208.3
Energy above the most stable polymorph in this dataset (eV/atom): 0.000
Energy (eV per atom): -3.813
Energy relative to the elements (eV per formula unit): -1.61

Structure (Quantum ESPRESSO input):
```
&SYSTEM
  ibrav = 0, nat = 7, ntyp = 3
/
ATOMIC_SPECIES
Y 88.91 Y.upf
Tl 204.38 Tl.upf
Ho 164.93 Ho.upf
CELL_PARAMETERS angstrom
6.103 0.010 -2.142
-3.039 5.275 -2.185
0.006 -0.010 6.468
ATOMIC_POSITIONS angstrom
Y 0.000 0.000 0.000
Tl 0.003 -0.005 3.234
Tl 3.052 0.005 -1.071
Tl 1.535 2.638 1.071
Tl -1.520 2.638 -1.092
Ho 1.532 2.643 -2.163
Ho 3.055 0.000 2.163
```

***

Record 11
A plane-wave DFT calculation with PBE was carried out for Y2Ho8Tl after structural relaxation. Values from VASP.

Summary:
Size of the total moment (μB/cell): 0.0
V (Å³/f.u.): 340.4
Energy (eV per atom): -4.750
Energy relative to the elements (eV per formula unit): -0.33

Structure (Quantum ESPRESSO input):
```
&SYSTEM
  ibrav = 0, nat = 11, ntyp = 3
/
ATOMIC_SPECIES
Ho 164.93 Ho.upf
Tl 204.38 Tl.upf
Y 88.91 Y.upf
CELL_PARAMETERS angstrom
5.533 0.000 0.000
0.000 6.264 1.317
-2.767 -1.152 9.580
ATOMIC_POSITIONS angstrom
Ho 2.767 5.133 4.246
Ho 2.767 4.227 7.694
Ho 0.000 0.885 3.204
Ho 0.000 4.483 1.818
Ho 2.767 0.629 9.080
Ho 2.767 2.342 2.042
Ho 0.000 2.770 8.855
Ho 0.000 -0.021 6.651
Tl 2.767 0.000 0.000
Y 2.767 1.487 5.364
Y 0.000 3.625 5.534
```

***

Record 12
A plane-wave DFT calculation with PBE was carried out for YHo5Tl6 after structural relaxation. Values from VASP.

Summary:
Size of the total moment (μB/cell): 0.0
V (Å³/f.u.): 324.9
Energy above the most stable polymorph in this dataset (eV/atom): 0.000
Energy (eV per atom): -3.963
Energy relative to the elements (eV per formula unit): -4.00

Structure (Quantum ESPRESSO input):
```
&SYSTEM
  ibrav = 0, nat = 12, ntyp = 3
/
ATOMIC_SPECIES
Ho 164.93 Ho.upf
Y 88.91 Y.upf
Tl 204.38 Tl.upf
CELL_PARAMETERS angstrom
-0.525 -2.075 -4.906
-5.864 -4.628 5.519
-0.713 9.217 -0.889
ATOMIC_POSITIONS angstrom
Ho -5.270 -3.363 2.000
Ho -3.551 1.257 -0.138
Ho -1.832 5.877 -2.276
Ho -4.672 -2.089 -1.523
Ho -2.429 4.603 1.247
Y 0.000 0.000 0.000
Tl -5.055 2.920 2.246
Tl -2.641 -1.684 1.002
Tl -4.461 4.199 -1.278
Tl -0.919 2.944 -1.140
Tl -6.183 -0.430 0.864
Tl -2.047 -0.406 -2.522
```

***

Record 13
A plane-wave DFT calculation with PBE was carried out for Y4Ho5Tl2 after structural relaxation. Values from VASP.

Summary:
Size of the total moment (μB/cell): 0.0
V (Å³/f.u.): 369.7
Energy (eV per atom): -4.605
Energy relative to the elements (eV per formula unit): 2.82

Structure (Quantum ESPRESSO input):
```
&SYSTEM
  ibrav = 0, nat = 11, ntyp = 3
/
ATOMIC_SPECIES
Ho 164.93 Ho.upf
Y 88.91 Y.upf
Tl 204.38 Tl.upf
CELL_PARAMETERS angstrom
-1.420 4.926 -0.841
-4.316 1.034 -2.699
-10.321 1.851 12.216
ATOMIC_POSITIONS angstrom
Ho -5.317 1.932 4.244
Ho -11.767 3.846 10.294
Ho -8.028 3.906 4.338
Ho -4.290 3.966 -1.618
Ho -10.740 5.879 4.431
Y -3.374 1.963 1.149
Y -12.683 5.848 7.527
Y -9.867 3.876 7.267
Y -6.190 3.935 1.409
Tl -7.269 1.901 7.354
Tl -8.788 5.911 1.321
```

***

Record 14
A plane-wave DFT calculation with PBE was carried out for Y3HoTl after structural relaxation. Values from VASP.

Summary:
Size of the total moment (μB/cell): 0.0
V (Å³/f.u.): 151.4
Energy above the most stable polymorph in this dataset (eV/atom): 0.000
Energy (eV per atom): -5.421
Energy relative to the elements (eV per formula unit): -0.77

Structure (Quantum ESPRESSO input):
```
&SYSTEM
  ibrav = 0, nat = 10, ntyp = 3
/
ATOMIC_SPECIES
Y 88.91 Y.upf
Ho 164.93 Ho.upf
Tl 204.38 Tl.upf
CELL_PARAMETERS angstrom
-3.897 5.173 5.992
-3.694 0.874 10.904
1.977 3.311 8.554
ATOMIC_POSITIONS angstrom
Y -1.160 3.403 15.128
Y -3.460 6.769 16.710
Y -4.453 5.955 10.322
Y -2.703 3.604 5.350
Y -2.154 2.589 8.740
Y -2.910 5.754 20.099
Ho -3.910 5.075 13.846
Ho -1.703 4.284 11.603
Tl -6.025 6.524 18.828
Tl 0.412 2.834 6.621
```

***

Record 15
A plane-wave DFT calculation with PBE was carried out for YHo2Tl2 after structural relaxation. Values from VASP.

Summary:
Size of the total moment (μB/cell): 0.0
V (Å³/f.u.): 140.8
Energy (eV per atom): -4.357
Energy relative to the elements (eV per formula unit): -1.43

Structure (Quantum ESPRESSO input):
```
&SYSTEM
  ibrav = 0, nat = 10, ntyp = 3
/
ATOMIC_SPECIES
Tl 204.38 Tl.upf
Ho 164.93 Ho.upf
Y 88.91 Y.upf
CELL_PARAMETERS angstrom
-3.515 1.289 -0.322
-1.683 -4.918 -1.318
-0.516 -3.482 13.649
ATOMIC_POSITIONS angstrom
Tl -2.037 -3.243 9.247
Tl -2.402 -0.860 0.821
Tl -3.677 -3.868 2.761
Tl -3.312 -6.251 11.187
Ho -1.487 -3.968 0.340
Ho -4.227 -3.143 11.668
Ho -3.370 -2.073 6.583
Ho -2.344 -5.038 5.425
Y -1.097 -2.078 3.699
Y -4.617 -5.033 8.309
```

***

Record 16
A plane-wave DFT calculation with PBE was carried out for Y2HoTl3 after structural relaxation. Values from VASP.

Summary:
Size of the total moment (μB/cell): 0.0
V (Å³/f.u.): 163.7
Energy above the most stable polymorph in this dataset (eV/atom): 0.000
Energy (eV per atom): -4.463
Energy relative to the elements (eV per formula unit): -2.17

Structure (Quantum ESPRESSO input):
```
&SYSTEM
  ibrav = 0, nat = 6, ntyp = 3
/
ATOMIC_SPECIES
Y 88.91 Y.upf
Tl 204.38 Tl.upf
Ho 164.93 Ho.upf
CELL_PARAMETERS angstrom
3.757 0.000 0.000
0.000 3.757 0.000
0.000 0.000 11.597
ATOMIC_POSITIONS angstrom
Y 1.879 1.879 9.655
Y 1.879 1.879 1.942
Tl 0.000 0.000 7.709
Tl 0.000 0.000 3.888
Tl 0.000 0.000 0.000
Ho 1.879 1.879 5.798
```

***

Record 17
A plane-wave DFT calculation with PBE was carried out for Y2HoTl2 after structural relaxation. Values from VASP.

Summary:
Size of the total moment (μB/cell): 0.0
V (Å³/f.u.): 145.7
Energy (eV per atom): -4.765
Energy relative to the elements (eV per formula unit): -1.59

Structure (Quantum ESPRESSO input):
```
&SYSTEM
  ibrav = 0, nat = 10, ntyp = 3
/
ATOMIC_SPECIES
Y 88.91 Y.upf
Tl 204.38 Tl.upf
Ho 164.93 Ho.upf
CELL_PARAMETERS angstrom
-2.687 -0.891 3.334
-0.549 -7.745 -2.512
6.416 -1.962 4.647
ATOMIC_POSITIONS angstrom
Y 3.600 -7.274 3.827
Y 0.306 -7.503 1.111
Y -0.421 -3.324 1.642
Y 2.873 -3.095 4.357
Tl 5.374 -4.565 3.112
Tl 3.569 -7.970 0.748
Tl 2.297 -1.737 1.387
Tl 0.493 -5.142 -0.977
Ho 0.000 0.000 0.000
Ho 2.933 -4.854 1.067
```

***

Record 18
A plane-wave DFT calculation with PBE was carried out for Y3Ho12Tl after structural relaxation. Values from VASP.

Summary:
Size of the total moment (μB/cell): 0.0
V (Å³/f.u.): 489.8
Energy (eV per atom): -4.815
Energy relative to the elements (eV per formula unit): -0.36

Structure (Quantum ESPRESSO input):
```
&SYSTEM
  ibrav = 0, nat = 16, ntyp = 3
/
ATOMIC_SPECIES
Ho 164.93 Ho.upf
Y 88.91 Y.upf
Tl 204.38 Tl.upf
CELL_PARAMETERS angstrom
4.938 0.000 0.000
0.000 4.938 0.000
0.000 0.000 20.090
ATOMIC_POSITIONS angstrom
Ho 2.469 2.469 10.045
Ho 0.000 2.469 2.440
Ho 2.469 2.469 4.915
Ho 0.000 2.469 12.585
Ho 2.469 0.000 12.585
Ho 2.469 0.000 17.649
Ho 0.000 2.469 17.649
Ho 2.469 0.000 7.505
Ho 0.000 2.469 7.505
Ho 2.469 2.469 0.000
Ho 2.469 0.000 2.440
Ho 2.469 2.469 15.175
Y 0.000 0.000 4.993
Y 0.000 0.000 15.097
Y 0.000 0.000 10.045
Tl 0.000 0.000 0.000
```

***

Record 19
A plane-wave DFT calculation with PBE was carried out for Y2Ho2Tl3 after structural relaxation. Values from VASP.

Summary:
Size of the total moment (μB/cell): 0.0
V (Å³/f.u.): 199.5
Energy above the most stable polymorph in this dataset (eV/atom): 0.033
Energy (eV per atom): -4.395
Energy relative to the elements (eV per formula unit): -1.58

Structure (Quantum ESPRESSO input):
```
&SYSTEM
  ibrav = 0, nat = 7, ntyp = 3
/
ATOMIC_SPECIES
Tl 204.38 Tl.upf
Y 88.91 Y.upf
Ho 164.93 Ho.upf
CELL_PARAMETERS angstrom
3.490 0.000 0.463
0.000 3.559 0.000
-0.350 0.000 16.015
ATOMIC_POSITIONS angstrom
Tl 0.222 0.000 11.708
Tl 2.918 0.000 4.770
Tl 0.000 0.000 0.000
Y 1.459 1.780 2.382
Y 1.680 1.780 14.096
Ho 0.900 1.780 6.600
Ho 2.240 1.780 9.878
```

***

Record 20
A plane-wave DFT calculation with PBE was carried out for Y12Ho7Tl after structural relaxation. Values from VASP.

Summary:
Size of the total moment (μB/cell): 0.0
V (Å³/f.u.): 648.6
Energy (eV per atom): -5.416
Energy relative to the elements (eV per formula unit): 3.66

Structure (Quantum ESPRESSO input):
```
&SYSTEM
  ibrav = 0, nat = 20, ntyp = 3
/
ATOMIC_SPECIES
Ho 164.93 Ho.upf
Y 88.91 Y.upf
Tl 204.38 Tl.upf
CELL_PARAMETERS angstrom
-7.053 4.573 2.104
-4.573 -7.131 1.824
2.177 0.261 8.383
ATOMIC_POSITIONS angstrom
Ho -2.670 -2.105 1.627
Ho -2.773 1.317 2.186
Ho -9.123 -1.682 8.607
Ho -0.325 -0.615 3.704
Ho -4.724 -1.149 6.156
Ho -6.778 -0.193 10.685
Ho -6.675 -3.614 10.126
Y -6.171 1.636 3.194
Y -0.803 0.396 7.082
Y -3.878 1.924 5.745
Y -6.026 -2.042 3.357
Y -3.423 -0.255 8.955
Y -1.953 -2.765 6.347
Y -3.277 -3.933 9.118
Y -5.612 2.363 8.501
Y -8.645 -2.693 5.229
Y -7.495 0.468 5.964
Y -5.571 -4.221 6.566
Y -3.836 -4.661 3.811
Tl 0.000 0.000 0.000
```